## Tm3MgCu4 (PBE)

Data for an optimized crystal structure of Tm3MgCu4.

a b c (Å): 4.744 4.744 6.754
angles (deg): 90.00 90.00 90.00
Element x y z (fractional)
Tm: 0.000 0.000 0.000
Tm: 0.000 0.000 0.500
Tm: 0.500 0.500 0.000
Mg: 0.500 0.500 0.500
Cu: 0.000 0.500 0.254
Cu: 0.000 0.500 0.746
Cu: 0.500 0.000 0.254
Cu: 0.500 0.000 0.746

## Properties
* density of states at the Fermi level: 3.21 states/eV/f.u.
* DFT total energy: -33.25 eV for the cell shown
* formation enthalpy at 0 K: -0.2323 eV/atom